(1)
Crystalline NpPtS3 at its relaxed geometry, computed with PBE.

## Properties
raw formation energy = -0.7536 eV/atom

Cell lengths 7.118, 7.118, 8.008 Å; angles 90.48, 90.48, 30.69 degrees
Atoms (fractional coordinates):
Np 0.214 0.214 0.276
Np 0.786 0.786 0.724
Pt 0.429 0.429 0.149
Pt 0.571 0.571 0.851
S 0.017 0.017 0.249
S 0.172 0.172 0.923
S 0.347 0.347 0.527
S 0.653 0.653 0.473
S 0.828 0.828 0.077
S 0.983 0.983 0.751

---

(2)
Crystalline TbPuMn at its relaxed geometry, computed with PBE.

## Properties
uncorrected energy = -9.256 eV/atom

Cell lengths 6.150, 6.150, 6.150 Å; angles 147.37, 147.37, 46.81 degrees
Atoms (fractional coordinates):
Tb 0.000 0.000 0.000
Pu 0.286 0.286 0.000
Mn 0.676 0.676 0.000

---

(3)
Crystalline SmHo5Pd2 at its relaxed geometry, computed with PBE.

## Properties
uncorrected energy = -5.125 eV/atom

Cell lengths 6.704, 6.704, 17.992 Å; angles 90.00, 90.00, 146.90 degrees
Atoms (fractional coordinates):
Sm 0.151 0.849 0.750
Sm 0.849 0.151 0.250
Ho 0.113 0.887 0.250
Ho 0.155 0.845 0.544
Ho 0.155 0.845 0.956
Ho 0.447 0.553 0.602
Ho 0.447 0.553 0.898
Ho 0.553 0.447 0.102
Ho 0.553 0.447 0.398
Ho 0.845 0.155 0.044
Ho 0.845 0.155 0.456
Ho 0.887 0.113 0.750
Pd 0.241 0.759 0.127
Pd 0.241 0.759 0.373
Pd 0.759 0.241 0.627
Pd 0.759 0.241 0.873